(1)
Below is a relaxed HfRe2BTe crystal, with properties calculated at the PBE level.

Lattice parameters (Å, degrees): 4.9744 4.9744 4.2217 90.00 90.00 90.00
Element x y z (fractional)
Hf  0.0000  0.0000  0.0000
Re  0.0000  0.5000  0.0000
Re  0.5000  0.0000  0.0000
B  0.0000  0.0000  0.5000
Te  0.5000  0.5000  0.5000

Results
The value obtained for the energy relative to the elements, uncorrected is 10.8 eV/f.u. The value obtained for the electronic total energy is -6.775 eV/atom. As for the crystal system: tetragonal.

(2)
Below is a relaxed U3PaC4 crystal, with properties calculated at the PBE level.

Lattice parameters (Å, degrees): 6.0851 6.0851 3.5273 90.00 90.00 110.02
Element x y z (fractional)
U  0.0000  0.0000  0.0000
U  0.0000  0.5000  0.5000
U  0.5000  0.0000  0.5000
Pa  0.5000  0.5000  0.0000
C  0.2383  0.2383  0.5000
C  0.2452  0.7548  0.0000
C  0.7548  0.2452  0.0000
C  0.7617  0.7617  0.5000

Results
The value obtained for the electronic total energy is -10.243 eV/atom. As for the crystal system: orthorhombic.

(3)
Below is a relaxed Y2TmHg2 crystal, with properties calculated at the PBE level.

Lattice parameters (Å, degrees): 3.7581 5.2524 13.6684 90.00 97.96 90.00
Element x y z (fractional)
Y  0.0464  0.2500  0.0945
Y  0.2351  0.2500  0.4708
Y  0.7649  0.7500  0.5292
Y  0.9536  0.7500  0.9055
Tm  0.1459  0.7500  0.2921
Tm  0.8541  0.2500  0.7079
Hg  0.3565  0.7500  0.7121
Hg  0.4513  0.2500  0.9015
Hg  0.5487  0.7500  0.0985
Hg  0.6435  0.2500  0.2879

Results
For the excess energy over the best structure of this formula in the dataset, the calculation gives 0.013 eV/atom. The value obtained for the electronic total energy is -3.993 eV/atom. As for the crystal system: monoclinic.

(4)
Below is a relaxed Li2PmAlGe2 crystal, with properties calculated at the PBE level.

Lattice parameters (Å, degrees): 4.2106 7.9256 7.2779 90.00 90.00 90.00
Element x y z (fractional)
Li  0.0000  0.0695  0.0000
Li  0.0000  0.9305  0.5000
Li  0.5000  0.1689  0.3248
Li  0.5000  0.8311  0.8248
Pm  0.5000  0.4244  0.9503
Pm  0.5000  0.5756  0.4503
Al  0.0000  0.3047  0.6081
Al  0.0000  0.6953  0.1081
Ge  0.0000  0.3692  0.2422
Ge  0.0000  0.6308  0.7422
Ge  0.5000  0.1378  0.6892
Ge  0.5000  0.8622  0.1892

Results
The value obtained for the electronic total energy is -4.101 eV/atom. As for the crystal system: orthorhombic.

(5)
Below is a relaxed NaNbIO6 crystal, with properties calculated at the PBE level.

Lattice parameters (Å, degrees): 5.4119 5.4119 10.5046 90.00 90.00 120.00
Element x y z (fractional)
Na  0.0000  0.0000  0.0000
Na  0.0000  0.0000  0.5000
Nb  0.3333  0.6667  0.2500
Nb  0.6667  0.3333  0.7500
I  0.3333  0.6667  0.7500
I  0.6667  0.3333  0.2500
O  0.0046  0.3895  0.6434
O  0.0046  0.6152  0.8566
O  0.3848  0.3895  0.8566
O  0.3848  0.9954  0.6434
O  0.3895  0.0046  0.1434
O  0.3895  0.3848  0.3566
O  0.6105  0.6152  0.6434
O  0.6105  0.9954  0.8566
O  0.6152  0.0046  0.3566
O  0.6152  0.6105  0.1434
O  0.9954  0.3848  0.1434
O  0.9954  0.6105  0.3566

Results
The value obtained for the energy relative to the elements, uncorrected is -12.3 eV/f.u. The value obtained for the electronic total energy is -6.108 eV/atom. As for the crystal system: trigonal.

(6)
Below is a relaxed CaReTe2 crystal, with properties calculated at the PBE level.

Lattice parameters (Å, degrees): 5.0807 5.0807 5.0807 60.00 60.00 60.00
Element x y z (fractional)
Ca  0.0000  0.0000  0.0000
Re  0.7500  0.7500  0.7500
Te  0.2500  0.2500  0.2500
Te  0.5000  0.5000  0.5000

Results
The value obtained for the energy relative to the elements, uncorrected is 2.8 eV/f.u. For the excess energy over the best structure of this formula in the dataset, the calculation gives 0.923 eV/atom. The value obtained for the electronic total energy is -4.474 eV/atom. As for the crystal system: cubic.

(7)
Below is a relaxed PrY5HoTm2 crystal, with properties calculated at the PBE level.

Lattice parameters (Å, degrees): 10.4607 10.4607 10.5066 90.00 90.00 148.81
Element x y z (fractional)
Pr  0.1968  0.8032  0.5000
Pr  0.8032  0.1968  0.0000
Y  0.0158  0.9842  0.5082
Y  0.2782  0.7218  0.7991
Y  0.3013  0.6987  0.1900
Y  0.3905  0.6095  0.5106
Y  0.4781  0.5219  0.2225
Y  0.5219  0.4781  0.7225
Y  0.6095  0.3905  0.0106
Y  0.6987  0.3013  0.6900
Y  0.7218  0.2782  0.2991
Y  0.9842  0.0158  0.0082
Ho  0.4129  0.5871  0.9344
Ho  0.5871  0.4129  0.4344
Tm  0.1102  0.8898  0.2214
Tm  0.1124  0.8876  0.8038
Tm  0.8876  0.1124  0.3038
Tm  0.8898  0.1102  0.7214

Results
The value obtained for the electronic total energy is -5.466 eV/atom. As for the crystal system: orthorhombic.

(8)
Below is a relaxed SrAg2Rh crystal, with properties calculated at the PBE level.

Lattice parameters (Å, degrees): 4.9117 4.9117 4.9117 60.00 60.00 60.00
Element x y z (fractional)
Sr  0.0000  0.0000  0.0000
Ag  0.2500  0.2500  0.2500
Ag  0.5000  0.5000  0.5000
Rh  0.7500  0.7500  0.7500

Results
For the excess energy over the best structure of this formula in the dataset, the calculation gives 0.141 eV/atom. The value obtained for the electronic total energy is -3.619 eV/atom. As for the crystal system: cubic.

(9)
Below is a relaxed Sr2AsRh crystal, with properties calculated at the PBE level.

Lattice parameters (Å, degrees): 3.6846 4.0790 6.7209 90.00 90.00 90.00
Element x y z (fractional)
Sr  0.0000  0.0000  0.2501
Sr  0.0000  0.0000  0.7499
As  0.5000  0.5000  0.0000
Rh  0.5000  0.5000  0.5000

Results
The value obtained for the electronic total energy is -4.276 eV/atom. As for the crystal system: orthorhombic.

(10)
Below is a relaxed Cd2Hg2Se crystal, with properties calculated at the PBE level.

Lattice parameters (Å, degrees): 7.6376 7.6376 4.2781 90.00 90.00 90.00
Element x y z (fractional)
Cd  0.1646  0.3354  0.0000
Cd  0.3354  0.8354  0.0000
Cd  0.6646  0.1646  0.0000
Cd  0.8354  0.6646  0.0000
Hg  0.1403  0.6403  0.5000
Hg  0.3597  0.1403  0.5000
Hg  0.6403  0.8597  0.5000
Hg  0.8597  0.3597  0.5000
Se  0.0000  0.0000  0.5000
Se  0.5000  0.5000  0.5000

Results
The value obtained for the energy relative to the elements, uncorrected is 0.4 eV/f.u. For the excess energy over the best structure of this formula in the dataset, the calculation gives 0.165 eV/atom. The value obtained for the electronic total energy is -1.094 eV/atom. As for the crystal system: tetragonal.

(11)
Below is a relaxed CaPm7Y4 crystal, with properties calculated at the PBE level.

Lattice parameters (Å, degrees): 6.3524 7.3358 9.0498 89.89 76.55 89.96
Element x y z (fractional)
Ca  0.0000  0.0000  0.0000
Pm  0.0000  0.5000  0.0000
Pm  0.2246  0.9999  0.3406
Pm  0.2813  0.2532  0.6625
Pm  0.5003  0.2578  0.9996
Pm  0.4997  0.7422  0.0004
Pm  0.7187  0.7468  0.3375
Pm  0.7754  0.0001  0.6594
Y  0.2204  0.4998  0.3325
Y  0.2824  0.7450  0.6636
Y  0.7176  0.2550  0.3364
Y  0.7796  0.5002  0.6675

Results
The value obtained for the electronic total energy is -5.072 eV/atom. As for the crystal system: triclinic.

(12)
Below is a relaxed RbCuAg3 crystal, with properties calculated at the PBE level.

Lattice parameters (Å, degrees): 5.0963 5.0963 5.0963 90.00 90.00 90.00
Element x y z (fractional)
Rb  0.0000  0.0000  0.0000
Cu  0.5000  0.5000  0.5000
Ag  0.0000  0.5000  0.5000
Ag  0.5000  0.0000  0.5000
Ag  0.5000  0.5000  0.0000

Results
For the excess energy over the best structure of this formula in the dataset, the calculation gives 0.000 eV/atom. The value obtained for the electronic total energy is -2.423 eV/atom. As for the crystal system: cubic.

For the records above, the corresponding size of the total moment values read 0.001; 0.141; 0.000; 0.000; 0.000; 0.000; 0.000; 0.000; 0.000; 0.000; 0.000; 0.000 μB per formula unit.
For the records above, the corresponding V values read 20.9; 15.3; 26.7; 20.2; 14.8; 23.2; 33.1; 20.9; 25.3; 25.0; 34.2; 26.5 A^3/atom.